Here is a relaxed GdDyRu crystal from the Alexandria database. Energies are from PBE-GGA.

DFT total energy: -28.33 eV for the cell shown
Space-group type: No. 156
Spin magnetization: 7.2 μB/f.u.
Offset from the most stable computed form: 189 meV per atom

POSCAR file:
```
GdDyRu
1.0
3.6232 0.0000 0.0000
0.0000 4.7089 0.0000
0.0000 -2.3544 4.0780
Ru Gd Dy
1 1 1
direct
0.3385 0.3333 0.6667 Ru
0.0569 0.0000 0.0000 Gd
0.6046 0.6667 0.3333 Dy
```


Here is a relaxed SrBi2As2 crystal from the Alexandria database. Energies are from PBE-GGA.

DFT total energy: -20.27 eV for the cell shown
Space-group type: No. 139
Spin magnetization: 0.0 μB/f.u.
Offset from the most stable computed form: 58 meV per atom

POSCAR file:
```
SrBi2As2
1.0
4.5600 0.0000 0.0000
0.0000 4.5600 0.0000
2.2800 2.2800 7.2778
Sr As Bi
1 2 2
direct
0.0000 0.0000 0.0000 Sr
0.4152 0.4152 0.1695 As
0.5848 0.5848 0.8305 As
0.7500 0.2500 0.5000 Bi
0.2500 0.7500 0.5000 Bi
```


Here is a relaxed SrCd3In4 crystal from the Alexandria database. Energies are from PBE-GGA.

DFT total energy: -16.51 eV for the cell shown
Space-group type: No. 123
Spin magnetization: 0.0 μB/f.u.

POSCAR file:
```
SrCd3In4
1.0
5.0264 0.0000 0.0000
0.0000 5.0264 0.0000
0.0000 0.0000 9.0098
Sr In Cd
1 4 3
direct
0.0000 0.0000 0.5000 Sr
0.5000 0.0000 0.1808 In
0.0000 0.5000 0.1808 In
0.5000 0.0000 0.8192 In
0.0000 0.5000 0.8192 In
0.0000 0.0000 0.0000 Cd
0.5000 0.5000 0.3479 Cd
0.5000 0.5000 0.6521 Cd
```


Here is a relaxed CaVS crystal from the Alexandria database. Energies are from PBE-GGA.

DFT total energy: -35.15 eV for the cell shown
Space-group type: No. 1
Spin magnetization: 0.0 μB/f.u.
Offset from the most stable computed form: 89 meV per atom

POSCAR file:
```
CaVS
1.0
3.5402 0.0005 0.0014
0.0662 4.1346 -0.0005
0.7657 0.8021 8.5169
Ca S V
2 2 2
direct
0.7682 0.2332 0.2915 Ca
0.3399 0.8070 0.9124 Ca
0.8488 0.3219 0.8479 S
0.2793 0.7438 0.2331 S
0.3673 0.3182 0.6332 V
0.1730 0.6979 0.5211 V
```


Here is a relaxed CaAc3 crystal from the Alexandria database. Energies are from PBE-GGA.

DFT total energy: -14.20 eV for the cell shown
Space-group type: No. 25
Spin magnetization: 0.0 μB/f.u.

POSCAR file:
```
CaAc3
1.0
-0.8662 0.6081 3.8564
5.7408 -2.3537 1.6606
2.7044 6.3215 -0.3894
Ac Ca
3 1
direct
0.0000 0.0000 0.9975 Ac
0.5000 0.0000 0.5041 Ac
0.5000 0.5000 0.8348 Ac
0.0000 0.5000 0.3303 Ca
```


Here is a relaxed Er4Ag2HgRh crystal from the Alexandria database. Energies are from PBE-GGA.

DFT total energy: -35.85 eV for the cell shown
Space-group type: No. 166
Spin magnetization: 0.0 μB/f.u.

POSCAR file:
```
Er4Ag2HgRh
1.0
5.0594 0.0000 0.0000
2.5297 4.3816 0.0000
2.5297 1.4605 8.2000
Er Ag Hg Rh
4 2 1 1
direct
0.3827 0.3827 0.8519 Er
0.8694 0.8694 0.3917 Er
0.1306 0.1306 0.6083 Er
0.6173 0.6173 0.1481 Er
0.7451 0.7451 0.7648 Ag
0.2549 0.2549 0.2352 Ag
0.0000 0.0000 0.0000 Hg
0.5000 0.5000 0.5000 Rh
```


| no. | calculated volume (Å³/cell) |
| --- | --- |
| 1 | 69.6 |
| 2 | 151.3 |
| 3 | 227.6 |
| 4 | 124.7 |
| 5 | 176.9 |
| 6 | 181.8 |